Here is a relaxed structure of CdAg2Au from Alexandria via LeMat-Bulk. Energies are from GGA-PBEsol.

Cell lengths 4.115, 4.093, 4.093 Å; angles 90.00, 90.00, 90.00 degrees
Positions (direct):
1 Au 0.500 0.500 0.000
2 Ag 0.000 0.000 0.000
3 Ag 0.000 0.500 0.500
4 Cd 0.500 0.000 0.500

Summary:
Magnetic moment ... 0.0 μB per formula unit
Calculated volume ... 68.9 Å³ per cell
DFT formation energy ... -0.11 eV/atom